1.
Below is crystalline Y3Ho2ScP2Os at its relaxed geometry, with properties calculated at the PBE level.

abc: 4.106 13.173 7.680
angles: 90.00 90.00 90.00
Space group Amm2 (No. 38)
One atom of each set of equivalent atoms:
1 Y 0.000 0.000 0.000 (multiplicity 2)
2 Y 0.000 0.203 0.373 (multiplicity 4)
3 Ho 0.500 0.122 0.701 (multiplicity 4)
4 Sc 0.500 0.000 0.327 (multiplicity 2)
5 P 0.500 0.163 0.083 (multiplicity 4)
6 Os 0.000 0.000 0.552 (multiplicity 2)



2.
Below is crystalline SrHfPd2 at its relaxed geometry, with properties calculated at the PBE level.

abc: 6.790 6.790 6.790
angles: 90.00 90.00 90.00
Space group F-43m (No. 216)
One atom of each set of equivalent atoms:
1 Sr 0.000 0.000 0.000 (multiplicity 4)
2 Hf 0.250 0.250 0.250 (multiplicity 4)
3 Pd 0.000 0.000 0.500 (multiplicity 4)
4 Pd 0.250 0.250 0.750 (multiplicity 4)



3.
Below is crystalline YTlZnTe3 at its relaxed geometry, with properties calculated at the PBE level.

* offset from the most stable computed form: 0.016 eV/atom

abc: 15.738 4.368 11.723
angles: 90.00 90.00 90.00
Space group Pnma (No. 62)
One atom of each set of equivalent atoms:
1 Y 0.025 0.250 0.157 (multiplicity 4)
2 Tl 0.239 0.250 0.464 (multiplicity 4)
3 Zn 0.017 0.750 0.400 (multiplicity 4)
4 Te 0.087 0.750 0.616 (multiplicity 4)
5 Te 0.102 0.250 0.919 (multiplicity 4)
6 Te 0.145 0.750 0.252 (multiplicity 4)



The following total magnetization values (in μB per cell) correspond, in order, to the records above: 0.0, 0.0, 0.0.
The following energy values (in eV per atom) correspond, in order, to the records above: -7.110, -5.515, -4.083.